VASP calculation (GGA-PBE) on a relaxed structure of SrLa2Ir2.

Uncorrected energy = -6.34 eV/atom
Symmetry = P4/mbm, No. 127

abc: 8.220 8.220 3.926
angles: 90.00 90.00 90.00
Positions (direct):
1 Ir 0.138 0.362 0.000
2 Ir 0.638 0.138 0.000
3 Ir 0.862 0.638 0.000
4 Ir 0.362 0.862 0.000
5 Sr 0.500 0.500 0.000
6 Sr 0.000 0.000 0.000
7 La 0.151 0.651 0.500
8 La 0.849 0.349 0.500
9 La 0.349 0.151 0.500
10 La 0.651 0.849 0.500